1.
Entry from Alexandria: a relaxed structure of YZn2SiIr2 (PBE).

Values from the calculation:
Space-group type: No. 123
Fermi-level density of states in states/eV/cell: 5.13
E_form (uncorrected) in meV/atom: -251
M_tot in Bohr magnetons per cell: 0.36

abc: 4.482 4.482 5.588
angles: 90.00 90.00 90.00
Each line ends with the local moment (μB).
Atoms (fractional coordinates):
Y1 0.000 0.000 0.500  0.02
Ir1 0.500 0.000 0.000  0.16
Ir2 0.000 0.500 0.000  0.16
Zn1 0.500 0.500 0.724  0.00
Zn2 0.500 0.500 0.276  0.00
Si1 0.000 0.000 0.000  0.01



2.
Entry from Alexandria: a relaxed structure of Y2ZnSi4Ir3 (PBE).

Values from the calculation:
Space-group type: No. 115
Fermi-level density of states in states/eV/cell: 4.90
E_form (uncorrected) in meV/atom: -881
M_tot in Bohr magnetons per cell: 0.00

abc: 4.116 4.116 10.079
angles: 90.00 90.00 90.00
Atoms (fractional coordinates):
Ir1 0.000 0.500 0.125
Ir2 0.500 0.000 0.875
Ir3 0.000 0.000 0.500
Y1 0.500 0.000 0.244
Y2 0.000 0.500 0.756
Si1 0.000 0.500 0.360
Si2 0.500 0.500 0.000
Si3 0.000 0.000 0.000
Si4 0.500 0.000 0.640
Zn1 0.500 0.500 0.500